1.
Here is an optimized crystal structure of ZrNbZn from Alexandria. Energies are from GGA-PBE.

* relative energy among the computed polymorphs: 30.4 meV per atom
* formation energy: -0.011 eV per atom
* magnetization: 0.00 μB/cell

abc: 4.7507 3.5959 13.2489
angles: 90.00 91.38 90.00
With the nearest neighbours (Å) after each atom.
Space group C2/m (No. 12)
Asymmetric unit:
Zr 0.2356 0.0000 0.2411  2 Zn 2.88, 2 Nb 2.96, 4 Zr 2.98
Nb 0.2434 0.5000 0.4184  6 Nb 2.81-2.98, 2 Zr 2.96
Zn 0.2123 0.5000 0.0715  3 Zn 2.64-2.73, 2 Zr 2.88

---

2.
Here is an optimized crystal structure of ZrNbZn4 from Alexandria. Energies are from GGA-PBE.

* formation energy: -0.204 eV per atom
* magnetization: 3.35 μB/cell

abc: 7.2717 7.2717 7.2717
angles: 90.00 90.00 90.00
With the nearest neighbours (Å) after each atom.
Space group F-43m (No. 216)
Asymmetric unit:
Zr 0.0000 0.0000 0.0000  12 Zn 3.02, 4 Nb 3.15
Nb 0.2500 0.2500 0.7500  12 Zn 3.01, 4 Zr 3.15
Zn 0.1246 0.1246 0.3754  6 Zn 2.56-2.58

---

3.
Here is an optimized crystal structure of Zr3NbZn from Alexandria. Energies are from GGA-PBE.

* relative energy among the computed polymorphs: 913.2 meV per atom
* formation energy: 0.867 eV per atom
* magnetization: 1.08 μB/cell

abc: 4.9298 4.9298 4.9298
angles: 90.00 90.00 90.00
With the nearest neighbours (Å) after each atom.
Space group Pm-3m (No. 221)
Asymmetric unit:
Zr 0.0000 0.0000 0.5000  2 Zn 2.46
Nb 0.5000 0.5000 0.5000  12 Zr 3.49
Zn 0.0000 0.0000 0.0000  6 Zr 2.46

---

4.
Here is an optimized crystal structure of ZrNb2Zn from Alexandria. Energies are from GGA-PBE.

* formation energy: 0.424 eV per atom
* magnetization: 0.00 μB/cell

abc: 7.6006 7.6006 5.4312
angles: 90.00 90.00 90.00
With the nearest neighbours (Å) after each atom.
Space group I-42d (No. 122)
Asymmetric unit:
Zr 0.0000 0.0000 0.0000  2 Zn 2.72, 4 Nb 2.91
Nb 0.2236 0.2500 0.6250  2 Zn 2.64, 2 Nb 2.75, 2 Zr 2.91
Zn 0.0000 0.0000 0.5000  4 Nb 2.64, 2 Zr 2.72

---

Q: Number 1 is which compound?
A: ZrNbZn

---

Q: Look up the formation energy of the third one.
A: 0.867 eV per atom

---

Q: magnetization of number 3 (Zr3NbZn)?
A: 1.08 μB/cell